# PmSm4Ho7 PBE-GGA relaxed
# Energy, eV/atom: -4.553
# Offset from the most stable computed form, meV per atom: 0
# Formation energy, eV/atom: 0.086
data_PmSm4Ho7
_cell_length_a 6.550
_cell_length_b 6.831
_cell_length_c 9.062
_cell_angle_alpha 85.01
_cell_angle_beta 76.98
_cell_angle_gamma 81.60
_space_group_name_H-M_alt 'P -1'
_space_group_IT_number 2
_space_group_name_Hall '-P 1'
loop_
_atom_site_label
_atom_site_type_symbol
_atom_site_fract_x
_atom_site_fract_y
_atom_site_fract_z
_atom_site_occupancy
Pm1 Pm 0.000 0.000 0.000 1
Sm1 Sm 0.165 0.614 0.310 1
Sm2 Sm 0.361 0.193 0.714 1
Ho1 Ho 0.000 0.500 0.000 1
Ho2 Ho 0.189 0.105 0.386 1
Ho3 Ho 0.318 0.700 0.642 1
Ho4 Ho 0.486 0.250 0.050 1


# PmSm12Ho6 PBE-GGA relaxed
# Energy, eV/atom: -4.535
# Offset from the most stable computed form, meV per atom: 0
# Formation energy, eV/atom: 0.141
data_PmSm12Ho6
_cell_length_a 12.0596
_cell_length_b 12.0596
_cell_length_c 15.2200
_cell_angle_alpha 90.00
_cell_angle_beta 90.00
_cell_angle_gamma 120.00
_space_group_name_H-M_alt 'R -3'
_space_group_IT_number 148
_space_group_name_Hall '-R 3'
loop_
_atom_site_label
_atom_site_type_symbol
_atom_site_fract_x
_atom_site_fract_y
_atom_site_fract_z
_atom_site_occupancy
Pm1 Pm 0.0000 0.0000 0.0000 1
Sm1 Sm 0.0072 0.8310 0.1918 1
Sm2 Sm 0.0454 0.8500 0.4166 1
Ho1 Ho 0.0128 0.4259 0.6847 1


# PmSm3Ho4 PBE-GGA relaxed
# Energy, eV/atom: -4.634
# Offset from the most stable computed form, meV per atom: 0
# Formation energy, eV/atom: 0.018
data_PmSm3Ho4
_cell_length_a 10.111
_cell_length_b 7.164
_cell_length_c 7.163
_cell_angle_alpha 90.00
_cell_angle_beta 90.00
_cell_angle_gamma 90.00
_space_group_name_H-M_alt 'P m n a'
_space_group_IT_number 53
_space_group_name_Hall '-P 2ac 2'
loop_
_atom_site_label
_atom_site_type_symbol
_atom_site_fract_x
_atom_site_fract_y
_atom_site_fract_z
_atom_site_occupancy
Pm1 Pm 0.000 0.000 0.000 1
Sm1 Sm 0.000 0.500 0.500 1
Sm2 Sm 0.250 0.250 0.250 1
Ho1 Ho 0.000 0.000 0.500 1
Ho2 Ho 0.000 0.500 0.000 1
Ho3 Ho 0.250 0.250 0.750 1


# PmSm3Ho2 PBE-GGA relaxed
# Energy, eV/atom: -4.332
# Offset from the most stable computed form, meV per atom: 330
# Formation energy, eV/atom: 0.345
data_PmSm3Ho2
_cell_length_a 3.497
_cell_length_b 5.916
_cell_length_c 19.657
_cell_angle_alpha 90.00
_cell_angle_beta 90.00
_cell_angle_gamma 90.00
_space_group_name_H-M_alt 'I m m m'
_space_group_IT_number 71
_space_group_name_Hall '-I 2 2'
loop_
_atom_site_label
_atom_site_type_symbol
_atom_site_fract_x
_atom_site_fract_y
_atom_site_fract_z
_atom_site_occupancy
Pm1 Pm 0.000 0.000 0.000 1
Sm1 Sm 0.000 0.000 0.193 1
Sm2 Sm 0.000 0.500 0.000 1
Ho1 Ho 0.000 0.000 0.363 1


Q: formation energy of number 3 (PmSm3Ho4)?
A: 0.018 eV/atom


Q: Which of these has the highest offset from the most stable computed form?
A: PmSm3Ho2